(1)
Computed, not measured: YTc2 after structural relaxation at the PBE level of DFT.

Geometry as POSCAR:
```
YTc2
1.0
5.071 -1.719 0.900
5.287 0.769 -0.966
2.949 3.855 5.482
Y Tc
2 4
direct
0.652 0.652 0.404
0.348 0.348 0.596
0.323 0.323 0.075
0.677 0.677 0.925
0.998 0.998 0.180
0.002 0.002 0.820
```

**M_tot**: 0.000 μB/f.u.



(2)
Computed, not measured: YTc after structural relaxation at the PBE level of DFT.

Geometry as POSCAR:
```
YTc
1.0
-3.592 -2.372 4.092
-1.941 -3.947 -3.991
4.056 -3.527 1.516
Tc Y
4 4
direct
0.860 0.140 0.500
0.640 0.640 0.000
0.140 0.860 0.500
0.360 0.360 0.000
0.807 0.193 0.000
0.193 0.807 0.000
0.693 0.693 0.500
0.307 0.307 0.500
```

**M_tot**: 0.000 μB/f.u.



(3)
Computed, not measured: YTc2 after structural relaxation at the PBE level of DFT.

Geometry as POSCAR:
```
YTc2
1.0
-1.569 1.569 5.754
1.569 -1.569 5.754
1.569 1.569 -5.754
Y Tc
1 2
direct
0.500 0.500 0.000
0.806 0.806 0.000
0.194 0.194 0.000
```

**M_tot**: 0.000 μB/f.u.



Calculated formation energy in eV per atom, matching the order above: 0.16 0.70 0.05
E in eV/atom, matching the order above: -8.908 -7.715 -9.020